Ba3Hf2ScO9: optimized geometry, PBE.

Values from the calculation:
* formation energy without anion corrections: -47.7 eV per formula unit
* DFT total energy: -124.33 eV per cell

a = 5.9558 Å, b = 5.9558 Å, c = 7.3019 Å
α = 90.00°, β = 90.00°, γ = 120.00°
With the nearest neighbours (Å) after each atom.
Space group P-3m1 (No. 164)
Asymmetric unit:
Ba  0.0000  0.0000  0.0000  12 O 2.98
Ba  0.3333  0.6667  0.6625  12 O 2.96-3.00
Hf  0.3333  0.6667  0.1683  6 O 2.08-2.11
Sc  0.0000  0.0000  0.5000  6 O 2.13
O  0.0000  0.5000  0.0000  2 Hf 2.11
O  0.1683  0.3366  0.3309  1 Hf 2.08, 1 Sc 2.13

=====

Ba3HfSc2O9: optimized geometry, PBE.

Values from the calculation:
* formation energy without anion corrections: -44.8 eV per formula unit
* DFT total energy: -117.78 eV per cell

a = 5.9601 Å, b = 5.9601 Å, c = 7.3133 Å
α = 90.00°, β = 90.00°, γ = 120.00°
With the nearest neighbours (Å) after each atom.
Space group P-3m1 (No. 164)
Asymmetric unit:
Ba  0.0000  0.0000  0.0000  12 O 2.98
Ba  0.3333  0.6667  0.6710  12 O 2.96-3.01
Hf  0.0000  0.0000  0.5000  6 O 2.09
Sc  0.3333  0.6667  0.1692  6 O 2.12
O  0.0000  0.5000  0.0000  2 Sc 2.12
O  0.1650  0.3299  0.3351  1 Hf 2.09, 1 Sc 2.12

=====

Ba2HfSe2O2: optimized geometry, PBE.

Values from the calculation:
* formation energy without anion corrections: -17.5 eV per formula unit
* DFT total energy: -96.42 eV per cell

a = 4.3921 Å, b = 4.3921 Å, c = 16.5191 Å
α = 90.00°, β = 90.00°, γ = 90.00°
With the nearest neighbours (Å) after each atom.
Space group I4/mmm (No. 139)
Asymmetric unit:
Ba  0.0000  0.0000  0.1263  4 O 3.03, 4 Se 3.17
Hf  0.0000  0.0000  0.5000  4 O 2.20
Se  0.0000  0.0000  0.3351  1 Hf 2.72
O  0.0000  0.5000  0.0000  2 Hf 2.20